Record 1
Computed, not measured: an optimized crystal structure of RbNaGa at the PBE level of DFT.

Cell: 4.5443 8.4495 8.4495 Å, 120.04 96.35 96.35°
Sites, in units of the cell vectors:
1 Rb 0.8879 0.8491 0.1536
2 Rb 0.3879 0.1536 0.8491
3 Na 0.1905 0.5472 0.3483
4 Na 0.6905 0.3483 0.5472
5 Ga 0.7834 0.7495 0.6686
6 Ga 0.2834 0.6686 0.7495

Properties
M_tot = 0.00 μB per cell
Excess energy over the best structure of this formula in the dataset = 51.7 meV per atom
Energy of formation from the pure elements = 35 meV/atom
Symmetry = Cc

***

Record 2
Computed, not measured: an optimized crystal structure of SnPd2N at the PBE level of DFT.

Cell: 4.4029 4.4029 4.4029 Å, 60.00 60.00 60.00°
Sites, in units of the cell vectors:
1 Sn 0.5000 0.5000 0.5000
2 Pd 0.2500 0.2500 0.2500
3 Pd 0.7500 0.7500 0.7500
4 N 0.0000 0.0000 0.0000

Properties
Formation energy (no corrections) = 0.652 eV per atom
M_tot = 0.95 μB per cell
Excess energy over the best structure of this formula in the dataset = 363.9 meV per atom
Symmetry = Fm-3m

***

Record 3
Computed, not measured: an optimized crystal structure of Y20Si12C at the PBE level of DFT.

Cell: 14.6528 6.4095 8.4676 Å, 89.97 90.00 90.00°
Sites, in units of the cell vectors:
1 Y 0.6212 0.7525 0.8786
2 Y 0.1182 0.7274 0.3815
3 Y 0.8380 0.0000 0.0000
4 Y 0.6212 0.2475 0.1214
5 Y 0.6623 0.5000 0.5000
6 Y 0.3788 0.7525 0.8786
7 Y 0.1715 0.5000 0.0000
8 Y 0.5000 0.2448 0.7566
9 Y 0.8818 0.2726 0.6185
10 Y 0.5000 0.7552 0.2434
11 Y 0.3788 0.2475 0.1214
12 Y 0.1182 0.2726 0.6185
13 Y 0.6716 0.0000 0.5000
14 Y 0.3377 0.5000 0.5000
15 Y 0.1620 0.0000 0.0000
16 Y 0.0000 0.7255 0.7359
17 Y 0.8285 0.5000 0.0000
18 Y 0.0000 0.2745 0.2641
19 Y 0.3284 0.0000 0.5000
20 Y 0.8818 0.7274 0.3815
21 Si 0.8002 0.7430 0.6992
22 Si 0.6972 0.2458 0.8025
23 Si 0.1998 0.7430 0.6992
24 Si 0.3028 0.7542 0.1975
25 Si 0.1998 0.2570 0.3008
26 Si 0.8002 0.2570 0.3008
27 Si 0.5000 0.2397 0.3953
28 Si 0.0000 0.7352 0.1006
29 Si 0.5000 0.7603 0.6047
30 Si 0.0000 0.2648 0.8994
31 Si 0.6972 0.7542 0.1975
32 Si 0.3028 0.2458 0.8025
33 C 0.0000 0.5000 0.5000

Properties
Formation energy (no corrections) = -0.717 eV per atom
M_tot = 0.00 μB per cell
Symmetry = P2/m